The following is a DFT calculation (PBE-GGA) of ReNiBP after structural relaxation.

```
8
Lattice="2.9980 0.0000 0.0000 0.0000 3.0899 0.0000 0.0000 0.0000 9.8434" Properties=species:S:1:pos:R:3 pbc="T T T"
Re 0.0000 0.0000 0.0000
Re 1.4990 1.5449 4.9217
Ni 0.0000 1.5449 7.2511
Ni 1.4990 0.0000 2.3294
B 0.0000 0.0000 5.6377
B 1.4990 1.5449 0.7160
P 0.0000 1.5449 3.0685
P 1.4990 0.0000 7.9902
```

Computed properties:
Formation energy from the elements in meV per atom: -76
Symmetry: No. 44
E above lowest polymorph in meV/atom: 97
Crystal system: orthorhombic

The following is a DFT calculation (PBE-GGA) of La2Fe2Co15 after structural relaxation.

```
19
Lattice="4.2187 2.4356 4.0744 -4.2187 2.4356 4.0744 0.0000 -4.8713 4.0744" Properties=species:S:1:pos:R:3 pbc="T T T"
La 0.0000 0.0000 1.8743
La 0.0000 0.0000 10.3488
Fe 0.0000 0.0000 4.9204
Fe 0.0000 0.0000 7.3027
Co -2.1093 -1.2178 4.0744
Co 0.0000 -2.3833 3.9224
Co -2.0640 1.1916 3.9224
Co -1.1977 -2.0745 6.1115
Co -2.3954 0.0000 6.1115
Co -2.0640 -1.1916 8.3007
Co -2.1093 1.2178 8.1487
Co 1.1977 -2.0745 6.1115
Co 0.0000 2.4356 4.0743
Co -1.1977 2.0745 6.1115
Co 2.0640 1.1916 3.9224
Co 2.3954 0.0000 6.1115
Co 1.1977 2.0745 6.1115
Co 2.0640 -1.1916 8.3007
Co 0.0000 2.3833 8.3007
```

Computed properties:
Formation energy from the elements in meV per atom: -50
Symmetry: No. 166
Crystal system: trigonal

The following is a DFT calculation (PBE-GGA) of DyAlAu after structural relaxation.

```
12
Lattice="7.2170 0.0000 0.0000 0.0000 4.4885 0.0000 0.0000 0.0000 7.7693" Properties=species:S:1:pos:R:3 pbc="T T T"
Dy 0.0602 1.1221 1.5367
Dy 3.5483 3.3664 5.4213
Dy 3.6687 1.1221 2.3479
Dy 7.1568 3.3664 6.2325
Al 1.2723 1.1221 4.4985
Al 2.3362 3.3664 0.6138
Al 4.8808 1.1221 7.1554
Al 5.9447 3.3664 3.2708
Au 1.5277 3.3664 3.1545
Au 2.0807 1.1221 7.0391
Au 5.1362 3.3664 0.7301
Au 5.6892 1.1221 4.6148
```

Computed properties:
Formation energy from the elements in meV per atom: -796
Symmetry: No. 62
Crystal system: orthorhombic

The following is a DFT calculation (PBE-GGA) of NaSr5Rh after structural relaxation.

```
14
Lattice="6.9092 -4.0121 0.0000 6.9092 4.0121 0.0000 -5.0114 0.0000 11.5139" Properties=species:S:1:pos:R:3 pbc="T T T"
Na 3.1506 3.9545 8.6354
Na 5.6564 -3.9545 2.8785
Sr 2.9221 2.4424 5.3548
Sr -0.1869 1.4514 10.1419
Sr 8.3906 2.4424 0.4021
Sr 5.6564 0.2414 2.8785
Sr 2.3188 -1.4514 4.3850
Sr 6.4882 1.4514 7.1289
Sr 3.1506 -0.2414 8.6354
Sr 0.4164 -2.4424 11.1118
Sr 8.9939 -1.4514 1.3720
Sr 5.8849 -2.4424 6.1591
Rh 6.9092 0.0000 0.0000
Rh 4.4035 0.0000 5.7569
```

Computed properties:
Formation energy from the elements in meV per atom: -80
Symmetry: No. 15
Crystal system: monoclinic

The following is a DFT calculation (PBE-GGA) of SrCo2Cl after structural relaxation.

```
16
Lattice="6.8157 0.0000 0.0000 0.0000 6.8157 0.0000 0.0000 0.0000 6.8157" Properties=species:S:1:pos:R:3 pbc="T T T"
Sr 0.0000 0.0000 0.0000
Sr 0.0000 3.4079 3.4079
Sr 3.4079 0.0000 3.4079
Sr 3.4079 3.4079 0.0000
Co 0.0000 0.0000 3.4079
Co 0.0000 3.4079 0.0000
Co 1.7039 1.7039 1.7039
Co 1.7039 5.1118 5.1118
Co 3.4079 0.0000 0.0000
Co 3.4079 3.4079 3.4079
Co 5.1118 1.7039 5.1118
Co 5.1118 5.1118 1.7039
Cl 1.7039 1.7039 5.1118
Cl 1.7039 5.1118 1.7039
Cl 5.1118 1.7039 1.7039
Cl 5.1118 5.1118 5.1118
```

Computed properties:
Energy relative to the elements, uncorrected in eV/atom: 0.407
Symmetry: No. 216
E above lowest polymorph in meV/atom: 594
Crystal system: cubic

The following is a DFT calculation (PBE-GGA) of MnSi4Au after structural relaxation.

```
6
Lattice="0.0000 3.5924 3.5924 3.5924 0.0000 3.5924 3.5924 3.5924 0.0000" Properties=species:S:1:pos:R:3 pbc="T T T"
Mn 0.0000 0.0000 0.0000
Si 4.4920 2.6929 2.6929
Si 2.6929 4.4920 2.6929
Si 2.6929 2.6929 4.4920
Si 4.4920 4.4920 4.4920
Au 1.7962 1.7962 1.7962
```

Computed properties:
Energy relative to the elements, uncorrected in eV/atom: 0.434
Symmetry: No. 216
Crystal system: cubic

The following is a DFT calculation (PBE-GGA) of UAl2Cu after structural relaxation.

```
12
Lattice="2.8274 0.0000 0.0000 -1.4137 2.4486 0.0000 0.0000 0.0000 28.5860" Properties=species:S:1:pos:R:3 pbc="T T T"
U 0.0000 0.0000 0.0000
U 0.0000 1.6324 19.0574
U 1.4137 0.8162 9.5287
Al 0.0000 0.0000 6.8494
Al 0.0000 0.0000 21.7366
Al 0.0000 1.6324 12.2080
Al 0.0000 1.6324 25.9067
Al 1.4137 0.8162 2.6793
Al 1.4137 0.8162 16.3781
Cu 0.0000 0.0000 14.2930
Cu 0.0000 1.6324 4.7643
Cu 1.4137 0.8162 23.8217
```

Computed properties:
Formation energy from the elements in meV per atom: -58
Symmetry: No. 166
Crystal system: trigonal

The following is a DFT calculation (PBE-GGA) of KAl2SiO6 after structural relaxation.

```
20
Lattice="4.3408 -5.7477 0.0000 4.3408 5.7477 0.0000 -2.1330 0.0000 5.5023" Properties=species:S:1:pos:R:3 pbc="T T T"
K 2.7410 4.6024 4.1267
K 3.8075 -4.6024 1.3756
Al 1.3183 0.9970 4.7898
Al 2.3848 -0.9970 2.0387
Al 4.1637 0.9970 3.4636
Al 5.2302 -0.9970 0.7125
Si 3.8075 3.4308 1.3756
Si 2.7410 -3.4308 4.1267
O -0.3104 1.2877 4.1319
O 3.8758 2.5359 0.0192
O 0.7561 -1.2877 1.3808
O 3.7393 2.5359 2.7320
O 2.0804 0.3475 3.2499
O 3.1469 -0.3475 0.4988
O 3.4016 0.3475 5.0035
O 4.4681 -0.3475 2.2524
O 2.8092 -2.5359 2.7703
O 5.7924 1.2877 4.1215
O 2.6727 -2.5359 5.4831
O 6.8589 -1.2877 1.3704
```

Computed properties:
Energy relative to the elements, uncorrected in eV/atom: -2.553
Symmetry: No. 15
Crystal system: monoclinic

Number 1: spin magnetization 0.00 μB per atom, electronic total energy -7.65 eV per atom, DOS at the Fermi energy 2.44 states/eV/f.u.. Number 2: spin magnetization 1.40 μB per atom, electronic total energy -7.07 eV per atom, DOS at the Fermi energy 20.53 states/eV/f.u.. Number 3: spin magnetization 0.00 μB per atom, electronic total energy -4.67 eV per atom, DOS at the Fermi energy 1.78 states/eV/f.u.. Number 4: spin magnetization 0.00 μB per atom, electronic total energy -2.52 eV per atom, DOS at the Fermi energy 5.17 states/eV/f.u.. Number 5: spin magnetization 0.86 μB per atom, electronic total energy -4.03 eV per atom, DOS at the Fermi energy 5.19 states/eV/f.u.. Number 6: spin magnetization 0.62 μB per atom, electronic total energy -5.26 eV per atom, DOS at the Fermi energy 1.15 states/eV/f.u.. Number 7: spin magnetization 0.12 μB per atom, electronic total energy -5.78 eV per atom, DOS at the Fermi energy 4.19 states/eV/f.u.. Number 8: spin magnetization 0.11 μB per atom, electronic total energy -6.93 eV per atom, DOS at the Fermi energy 0.28 states/eV/f.u..